[1]
VASP calculation (PBE) on ScTaCrFe after structural relaxation.

Its electronic total energy is -9.02 eV/atom.

The structure belongs to space group F-43m (No. 216); the cell edges are 6.230, 6.230 and 6.230 Å and the angles 90.00°, 90.00° and 90.00°. Symmetry generates all atoms from Sc at (0.000, 0.000, 0.000), Ta at (0.000, 0.000, 0.500), Cr at (0.250, 0.250, 0.750) and Fe at (0.250, 0.250, 0.250).

=====

[2]
VASP calculation (PBE) on ScTl2CrFe after structural relaxation.

Its electronic total energy is -5.09 eV/atom.

The structure belongs to space group P4/mmm (No. 123); the cell edges are 5.146, 5.146 and 4.138 Å and the angles 90.00°, 90.00° and 90.00°. Symmetry generates all atoms from Sc at (0.000, 0.000, 0.000), Tl at (0.000, 0.500, 0.500), Cr at (0.500, 0.500, 0.500) and Fe at (0.500, 0.500, 0.000).

=====

[3]
VASP calculation (PBE) on Cr2FeSe after structural relaxation.

The energy relative to the elements, uncorrected is 0.2266 eV/atom. As for the distance to the lowest polymorph of the same formula: 0.000 eV/atom.

The structure belongs to space group Pmmm (No. 47); the cell edges are 3.156, 3.924 and 4.143 Å and the angles 90.00°, 90.00° and 90.00°. Symmetry generates all atoms from Cr at (0.000, 0.000, 0.000), Cr at (0.500, 0.500, 0.000), Fe at (0.000, 0.500, 0.500) and Se at (0.500, 0.000, 0.500).

=====

[4]
VASP calculation (PBE) on CrFeSe after structural relaxation.

The energy relative to the elements, uncorrected is 0.1709 eV/atom. As for the distance to the lowest polymorph of the same formula: 0.115 eV/atom.

The structure belongs to space group P3m1 (No. 156); the cell edges are 3.9474, 3.9474 and 3.2741 Å and the angles 90.00°, 90.00° and 120.00°. Symmetry generates all atoms from Cr at (0.0000, 0.0000, 0.0000), Fe at (0.3333, 0.6667, 0.4988) and Se at (0.6667, 0.3333, 0.5017).

=====

[5]
VASP calculation (PBE) on Cr2FeSe after structural relaxation.

The energy relative to the elements, uncorrected is 0.2950 eV/atom. As for the distance to the lowest polymorph of the same formula: 0.068 eV/atom.

The structure belongs to space group Immm (No. 71); the cell edges are 3.008, 3.960 and 8.142 Å and the angles 90.00°, 90.00° and 90.00°. Symmetry generates all atoms from Cr at (0.000, 0.000, 0.238), Fe at (0.000, 0.500, 0.000) and Se at (0.000, 0.500, 0.500).

=====

[6]
VASP calculation (PBE) on Cr2FeSe after structural relaxation.

The energy relative to the elements, uncorrected is 0.3348 eV/atom. As for the distance to the lowest polymorph of the same formula: 0.108 eV/atom.

The structure belongs to space group P2/m (No. 10); the cell edges are 2.923, 3.635 and 4.839 Å and the angles 90.00°, 90.30° and 90.00°. Symmetry generates all atoms from Cr at (0.003, 0.000, 0.220), Fe at (0.500, 0.500, 0.000) and Se at (0.500, 0.500, 0.500).

=====

[7]
VASP calculation (PBE) on Cr2FeSe after structural relaxation.

The energy relative to the elements, uncorrected is 0.3764 eV/atom. As for the distance to the lowest polymorph of the same formula: 0.150 eV/atom.

The structure belongs to space group R3m (No. 160, hexagonal axes); the cell edges are 2.8749, 2.8749 and 22.2975 Å and the angles 90.00°, 90.00° and 120.00°. Symmetry generates all atoms from Cr at (0.0000, 0.0000, 0.0000), Cr at (0.0000, 0.0000, 0.2598), Fe at (0.0000, 0.0000, 0.7511) and Se at (0.0000, 0.0000, 0.5042).

=====

[8]
VASP calculation (PBE) on Cr2FeSe after structural relaxation.

The energy relative to the elements, uncorrected is 0.5255 eV/atom. As for the distance to the lowest polymorph of the same formula: 0.299 eV/atom.

The structure belongs to space group I-42d (No. 122); the cell edges are 6.559, 6.559 and 5.289 Å and the angles 90.00°, 90.00° and 90.00°. Symmetry generates all atoms from Cr at (0.233, 0.750, 0.125), Fe at (0.000, 0.000, 0.000) and Se at (0.000, 0.000, 0.500).

=====

One value per record, in order, for total magnetic moment: 6.5 2.0 1.5 1.7 1.3 1.9 5.3 9.0 μB per cell.